(1)
Material: Th3ReBi
Method: DFT, PBE-GGA
State: relaxed

Structure (CIF):
```
data_Th3ReBi
_chemical_formula_sum 'Th12 Re4 Bi4'
_cell_length_a 4.582
_cell_length_b 7.954
_cell_length_c 16.815
_cell_angle_alpha 90.00
_cell_angle_beta 90.00
_cell_angle_gamma 90.00
_space_group_name_H-M_alt 'P 1'
_space_group_IT_number 1
_space_group_name_Hall 'P 1'
loop_
_atom_site_label
_atom_site_type_symbol
_atom_site_fract_x
_atom_site_fract_y
_atom_site_fract_z
Bi1 Bi 0.250 0.622 0.299
Re1 Re 0.250 0.260 0.959
Bi2 Bi 0.250 0.122 0.201
Th1 Th 0.750 0.324 0.298
Th2 Th 0.250 0.861 0.952
Re2 Re 0.750 0.740 0.041
Th3 Th 0.250 0.510 0.092
Th4 Th 0.250 0.676 0.702
Re3 Re 0.250 0.760 0.541
Th5 Th 0.750 0.639 0.452
Th6 Th 0.250 0.010 0.408
Th7 Th 0.750 0.990 0.592
Th8 Th 0.750 0.824 0.202
Bi3 Bi 0.750 0.378 0.701
Re4 Re 0.750 0.240 0.459
Th9 Th 0.250 0.176 0.798
Th10 Th 0.750 0.490 0.908
Bi4 Bi 0.750 0.878 0.799
Th11 Th 0.250 0.361 0.548
Th12 Th 0.750 0.139 0.048
```

Calculated values
The formation energy comes out at -0.21 eV per atom. The value obtained for the density of states at the Fermi level is 17.8 states/eV per cell. The density is 11829 kg/m3.


(2)
Material: V6Ga2H
Method: DFT, PBE-GGA
State: relaxed

Structure (CIF):
```
data_V6Ga2H
_chemical_formula_sum 'V12 Ga4 H2'
_cell_length_a 5.184
_cell_length_b 5.185
_cell_length_c 8.269
_cell_angle_alpha 90.00
_cell_angle_beta 90.00
_cell_angle_gamma 90.00
_space_group_name_H-M_alt 'P 1'
_space_group_IT_number 1
_space_group_name_Hall 'P 1'
loop_
_atom_site_label
_atom_site_type_symbol
_atom_site_fract_x
_atom_site_fract_y
_atom_site_fract_z
V1 V 0.500 0.500 0.749
V2 V 0.743 0.256 0.500
V3 V 0.257 0.257 0.500
Ga1 Ga 0.500 0.000 0.250
V4 V 0.000 0.000 0.751
Ga2 Ga 0.500 0.000 0.750
V5 V 0.743 0.743 0.500
Ga3 Ga 0.000 0.500 0.750
H1 H 0.500 0.500 0.000
V6 V 0.000 0.000 0.249
V7 V 0.243 0.757 0.000
V8 V 0.243 0.244 0.000
V9 V 0.757 0.756 0.000
H2 H 0.000 0.000 0.500
V10 V 0.257 0.744 0.500
V11 V 0.500 0.500 0.251
Ga4 Ga 0.000 0.500 0.250
V12 V 0.757 0.243 0.000
```

Calculated values
The calculation puts the final energy at -7.318 eV/atom. The value obtained for the density of states at the Fermi level is 12.6 states/eV per cell. The density is 6666 kg/m3.


(3)
Material: Mg2TaCu
Method: DFT, PBE-GGA
State: relaxed

Structure (CIF):
```
data_Mg2TaCu
_chemical_formula_sum 'Mg2 Ta1 Cu1'
_cell_length_a 4.478
_cell_length_b 2.826
_cell_length_c 5.647
_cell_angle_alpha 77.14
_cell_angle_beta 90.00
_cell_angle_gamma 90.00
_space_group_name_H-M_alt 'P 1'
_space_group_IT_number 1
_space_group_name_Hall 'P 1'
loop_
_atom_site_label
_atom_site_type_symbol
_atom_site_fract_x
_atom_site_fract_y
_atom_site_fract_z
Mg1 Mg 0.000 0.914 0.989
Cu1 Cu 0.500 0.750 0.750
Mg2 Mg 0.000 0.586 0.511
Ta1 Ta 0.500 0.250 0.250
```

Calculated values
The formation energy comes out at 0.30 eV per atom. The value obtained for the density of states at the Fermi level is 3.0 states/eV per cell. The density is 6985 kg/m3.


(4)
Material: AcPd8Pb4
Method: DFT, PBE-GGA
State: relaxed

Structure (CIF):
```
data_AcPd8Pb4
_chemical_formula_sum 'Ac1 Pd8 Pb4'
_cell_length_a 6.626
_cell_length_b 7.241
_cell_length_c 7.241
_cell_angle_alpha 77.92
_cell_angle_beta 62.77
_cell_angle_gamma 62.77
_space_group_name_H-M_alt 'P 1'
_space_group_IT_number 1
_space_group_name_Hall 'P 1'
loop_
_atom_site_label
_atom_site_type_symbol
_atom_site_fract_x
_atom_site_fract_y
_atom_site_fract_z
Pd1 Pd 0.662 0.338 0.338
Pd2 Pd 0.500 0.779 0.221
Pd3 Pd 0.338 0.662 0.662
Pd4 Pd 0.000 0.338 0.662
Pb1 Pb 0.000 0.500 0.000
Pd5 Pd 0.500 0.221 0.779
Pd6 Pd 0.279 0.221 0.221
Pb2 Pb 0.500 0.000 0.500
Pd7 Pd 0.721 0.779 0.779
Ac1 Ac 0.000 0.000 0.000
Pb3 Pb 0.500 0.500 0.000
Pd8 Pd 0.000 0.662 0.338
Pb4 Pb 0.000 0.000 0.500
```

Calculated values
The formation energy comes out at -0.24 eV per atom. The value obtained for the density of states at the Fermi level is 6.1 states/eV per cell. The density is 11528 kg/m3.


(5)
Material: MnNbBr2N
Method: DFT, PBE-GGA
State: relaxed

Structure (CIF):
```
data_MnNbBr2N
_chemical_formula_sum 'Mn1 Nb1 Br2 N1'
_cell_length_a 5.142
_cell_length_b 5.089
_cell_length_c 5.142
_cell_angle_alpha 90.00
_cell_angle_beta 90.00
_cell_angle_gamma 90.00
_space_group_name_H-M_alt 'P 1'
_space_group_IT_number 1
_space_group_name_Hall 'P 1'
loop_
_atom_site_label
_atom_site_type_symbol
_atom_site_fract_x
_atom_site_fract_y
_atom_site_fract_z
N1 N 0.500 0.500 0.500
Br1 Br 0.500 0.000 0.000
Br2 Br 0.000 0.000 0.500
Mn1 Mn 0.000 0.500 0.000
Nb1 Nb 0.000 0.000 0.000
```

Calculated values
As for the uncorrected formation energy: 1.234 eV/atom. The value obtained for the density of states at the Fermi level is 3.2 states/eV per cell. The density is 3969 kg/m3.


(6)
Material: La2PmDy9
Method: DFT, PBE-GGA
State: relaxed

Structure (CIF):
```
data_La2PmDy9
_chemical_formula_sum 'La2 Pm1 Dy9'
_cell_length_a 3.502
_cell_length_b 11.382
_cell_length_c 11.382
_cell_angle_alpha 120.00
_cell_angle_beta 90.00
_cell_angle_gamma 90.00
_space_group_name_H-M_alt 'P 1'
_space_group_IT_number 1
_space_group_name_Hall 'P 1'
loop_
_atom_site_label
_atom_site_type_symbol
_atom_site_fract_x
_atom_site_fract_y
_atom_site_fract_z
Dy1 Dy 0.500 0.345 0.173
Dy2 Dy 0.000 0.000 0.500
Dy3 Dy 0.500 0.827 0.173
Dy4 Dy 0.500 0.655 0.827
Dy5 Dy 0.000 0.500 0.500
Dy6 Dy 0.000 0.500 0.000
Dy7 Dy 0.500 0.827 0.655
Dy8 Dy 0.500 0.173 0.345
La1 La 0.000 0.667 0.333
Dy9 Dy 0.500 0.173 0.827
La2 La 0.000 0.333 0.667
Pm1 Pm 0.000 0.000 0.000
```

Calculated values
The formation energy comes out at 0.08 eV per atom. The value obtained for the density of states at the Fermi level is 18.9 states/eV per cell. The density is 7968 kg/m3.


(7)
Material: DyBeV
Method: DFT, PBE-GGA
State: relaxed

Structure (CIF):
```
data_DyBeV
_chemical_formula_sum 'Dy4 Be4 V4'
_cell_length_a 4.514
_cell_length_b 5.561
_cell_length_c 9.833
_cell_angle_alpha 84.65
_cell_angle_beta 76.73
_cell_angle_gamma 66.05
_space_group_name_H-M_alt 'P 1'
_space_group_IT_number 1
_space_group_name_Hall 'P 1'
loop_
_atom_site_label
_atom_site_type_symbol
_atom_site_fract_x
_atom_site_fract_y
_atom_site_fract_z
V1 V 0.131 0.000 0.738
V2 V 0.869 0.000 0.262
Dy1 Dy 0.861 0.279 0.000
Be1 Be 0.341 0.500 0.317
Be2 Be 0.591 0.000 0.817
V3 V 0.881 0.500 0.238
Dy2 Dy 0.611 0.779 0.500
Be3 Be 0.409 0.000 0.183
Dy3 Dy 0.139 0.721 0.000
V4 V 0.619 0.500 0.762
Be4 Be 0.159 0.500 0.683
Dy4 Dy 0.889 0.221 0.500
```

Calculated values
The formation energy comes out at 0.67 eV per atom. The value obtained for the density of states at the Fermi level is 13.0 states/eV per cell. The density is 6730 kg/m3.


(8)
Material: Sr2TlRuC
Method: DFT, PBE-GGA
State: relaxed

Structure (CIF):
```
data_Sr2TlRuC
_chemical_formula_sum 'Sr2 Tl1 Ru1 C1'
_cell_length_a 5.559
_cell_length_b 5.559
_cell_length_c 3.953
_cell_angle_alpha 90.00
_cell_angle_beta 90.00
_cell_angle_gamma 90.00
_space_group_name_H-M_alt 'P 1'
_space_group_IT_number 1
_space_group_name_Hall 'P 1'
loop_
_atom_site_label
_atom_site_type_symbol
_atom_site_fract_x
_atom_site_fract_y
_atom_site_fract_z
C1 C 0.000 0.000 0.000
Tl1 Tl 0.500 0.500 0.500
Ru1 Ru 0.000 0.000 0.500
Sr1 Sr 0.500 0.000 0.000
Sr2 Sr 0.000 0.500 0.000
```

Calculated values
The formation energy comes out at 0.01 eV per atom. The value obtained for the density of states at the Fermi level is 4.6 states/eV per cell. The density is 6697 kg/m3.


(9)
Material: Sc4AlCu
Method: DFT, PBE-GGA
State: relaxed

Structure (CIF):
```
data_Sc4AlCu
_chemical_formula_sum 'Sc4 Al1 Cu1'
_cell_length_a 4.642
_cell_length_b 4.645
_cell_length_c 7.998
_cell_angle_alpha 73.11
_cell_angle_beta 73.13
_cell_angle_gamma 60.02
_space_group_name_H-M_alt 'P 1'
_space_group_IT_number 1
_space_group_name_Hall 'P 1'
loop_
_atom_site_label
_atom_site_type_symbol
_atom_site_fract_x
_atom_site_fract_y
_atom_site_fract_z
Sc1 Sc 0.370 0.370 0.890
Sc2 Sc 0.881 0.881 0.357
Cu1 Cu 0.000 0.000 0.000
Sc3 Sc 0.630 0.630 0.110
Al1 Al 0.500 0.500 0.500
Sc4 Sc 0.119 0.119 0.643
```

Calculated values
The formation energy comes out at 0.03 eV per atom. The value obtained for the density of states at the Fermi level is 6.0 states/eV per cell. The density is 3190 kg/m3.


(10)
Material: InP2Au
Method: DFT, PBE-GGA
State: relaxed

Structure (CIF):
```
data_InP2Au
_chemical_formula_sum 'In1 P2 Au1'
_cell_length_a 9.641
_cell_length_b 9.641
_cell_length_c 4.985
_cell_angle_alpha 34.49
_cell_angle_beta 34.49
_cell_angle_gamma 19.64
_space_group_name_H-M_alt 'P 1'
_space_group_IT_number 1
_space_group_name_Hall 'P 1'
loop_
_atom_site_label
_atom_site_type_symbol
_atom_site_fract_x
_atom_site_fract_y
_atom_site_fract_z
P1 P 0.517 0.517 0.551
In1 In 0.250 0.250 0.250
P2 P 0.983 0.983 0.949
Au1 Au 0.750 0.750 0.750
```

Calculated values
The formation energy comes out at -0.12 eV per atom. The value obtained for the density of states at the Fermi level is 1.0 states/eV per cell. The density is 7273 kg/m3.


(11)
Material: TlIn2P
Method: DFT, PBE-GGA
State: relaxed

Structure (CIF):
```
data_TlIn2P
_chemical_formula_sum 'Tl1 In2 P1'
_cell_length_a 3.938
_cell_length_b 3.938
_cell_length_c 8.293
_cell_angle_alpha 76.26
_cell_angle_beta 76.26
_cell_angle_gamma 60.00
_space_group_name_H-M_alt 'P 1'
_space_group_IT_number 1
_space_group_name_Hall 'P 1'
loop_
_atom_site_label
_atom_site_type_symbol
_atom_site_fract_x
_atom_site_fract_y
_atom_site_fract_z
Tl1 Tl 0.500 0.500 0.499
P1 P 0.666 0.666 0.001
In1 In 0.269 0.269 0.192
In2 In 0.064 0.064 0.807
```

Calculated values
The formation energy comes out at 0.00 eV per atom. The value obtained for the density of states at the Fermi level is 1.4 states/eV per cell. The density is 7208 kg/m3.